[1]
A relaxed structure of Sn2GeBr2O2, computed with PBE.

Results
Raw formation energy = -6.60 eV/f.u.
Calculated volume = 26.51 Å³ per atom

Cell lengths 12.734, 3.802, 7.940 Å; angles 90.00, 105.10, 90.00 degrees
Space group C2/m (No. 12)
One atom of each set of equivalent atoms:
Sn1 0.205 0.000 0.309 [4 per cell]
Ge1 0.000 0.500 0.500 [2 per cell]
Br1 0.079 0.000 0.770 [4 per cell]
O1 0.168 0.500 0.445 [4 per cell]

=====

[2]
A relaxed structure of Pm5Sm5Dy, computed with PBE.

Results
Calculated volume = 34.71 Å³ per atom
Calculated formation energy = 138 meV/atom

Cell lengths 6.989, 6.991, 8.767 Å; angles 75.02, 75.24, 69.77 degrees
Space group P-1 (No. 2)
One atom of each set of equivalent atoms:
Pm1 0.000 0.000 0.000 [1 per cell]
Pm2 0.146 0.647 0.362 [2 per cell]
Pm3 0.354 0.270 0.733 [2 per cell]
Sm1 0.223 0.149 0.271 [2 per cell]
Sm2 0.320 0.814 0.636 [2 per cell]
Sm3 0.500 0.500 0.000 [1 per cell]
Dy1 0.000 0.500 0.000 [1 per cell]

=====

[3]
A relaxed structure of BaLi2SiPd, computed with PBE.

Results
Raw formation energy = -1.73 eV/f.u.
Calculated volume = 23.23 Å³ per atom

Cell lengths 4.990, 4.990, 4.665 Å; angles 90.00, 90.00, 90.00 degrees
Space group P4/mmm (No. 123)
One atom of each set of equivalent atoms:
Ba1 0.000 0.000 0.000 [1 per cell]
Li1 0.000 0.500 0.500 [2 per cell]
Si1 0.500 0.500 0.000 [1 per cell]
Pd1 0.500 0.500 0.500 [1 per cell]

=====

[4]
A relaxed structure of AlOs2Pb, computed with PBE.

Results
Calculated volume = 17.07 Å³ per atom
Calculated formation energy = 818 meV/atom

Cell lengths 6.488, 6.488, 6.488 Å; angles 90.00, 90.00, 90.00 degrees
Space group F-43m (No. 216)
One atom of each set of equivalent atoms:
Al1 0.000 0.000 0.000 [4 per cell]
Os1 0.000 0.000 0.500 [4 per cell]
Os2 0.250 0.250 0.750 [4 per cell]
Pb1 0.250 0.250 0.250 [4 per cell]